1.
Below is a relaxed SmTiP2Ru crystal, with properties calculated at the PBE level.

## Properties
Mass density ... 6.9 Mg/m³
D(E_F) ... 0.71 states/eV/atom
SG ... I-4m2
E ... -7.5753 eV per atom
Magnetization ... 0.00 μB per atom

Cell lengths 3.909, 3.909, 6.346 Å; angles 107.94, 107.94, 90.00 degrees
Fractional coordinates of all 5 atoms:
Sm 0.000 0.000 0.000
Ti 0.250 0.750 0.500
P 0.623 0.623 0.246
P 0.377 0.377 0.754
Ru 0.750 0.250 0.500

---

2.
Below is a relaxed NaS2BrCl crystal, with properties calculated at the PBE level.

## Properties
Mass density ... 2.1 Mg/m³
D(E_F) ... 0.97 states/eV/atom
Energy above the lowest structure with this stoichiometry ... 0.0 kJ per mole of atoms
SG ... P4/mmm
Formation energy from raw total energies ... 0.173 eV per atom
E ... -2.4456 eV per atom
Magnetization ... 0.14 μB per atom

Cell lengths 4.761, 4.761, 6.950 Å; angles 90.00, 90.00, 90.00 degrees
Fractional coordinates of all 5 atoms:
Na 0.500 0.500 0.500
S 0.000 0.500 0.000
S 0.500 0.000 0.000
Br 0.000 0.000 0.000
Cl 0.000 0.000 0.500

---

3.
Below is a relaxed CePm4Sb2 crystal, with properties calculated at the PBE level.

## Properties
Mass density ... 7.0 Mg/m³
D(E_F) ... 1.09 states/eV/atom
SG ... I4/mmm
Formation energy from raw total energies ... -0.003 eV per atom
E ... -4.7430 eV per atom
Magnetization ... 0.00 μB per atom

Cell lengths 5.248, 5.248, 9.083 Å; angles 106.79, 106.79, 90.00 degrees
Fractional coordinates of all 7 atoms:
Ce 0.000 0.000 0.000
Pm 0.821 0.821 0.643
Pm 0.179 0.179 0.357
Pm 0.000 0.500 0.000
Pm 0.500 0.000 0.000
Sb 0.635 0.635 0.271
Sb 0.365 0.365 0.729

---

4.
Below is a relaxed RbPtBr5 crystal, with properties calculated at the PBE level.

## Properties
Mass density ... 4.4 Mg/m³
D(E_F) ... 0.97 states/eV/atom
Energy above the lowest structure with this stoichiometry ... 0.0 kJ per mole of atoms
SG ... C2/c
Formation energy from raw total energies ... -0.636 eV per atom
E ... -2.8321 eV per atom
Magnetization ... 0.00 μB per atom

Cell lengths 8.059, 8.059, 9.676 Å; angles 71.54, 71.54, 61.86 degrees
Fractional coordinates of all 14 atoms:
Rb 0.477 0.523 0.250
Rb 0.523 0.477 0.750
Pt 0.000 0.000 0.000
Pt 0.000 0.000 0.500
Br 0.075 0.651 0.107
Br 0.070 0.653 0.538
Br 0.651 0.075 0.607
Br 0.900 0.100 0.250
Br 0.347 0.930 0.962
Br 0.653 0.070 0.038
Br 0.100 0.900 0.750
Br 0.349 0.925 0.393
Br 0.930 0.347 0.462
Br 0.925 0.349 0.893

---

5.
Below is a relaxed CuNiRhS4 crystal, with properties calculated at the PBE level.

## Properties
Mass density ... 5.1 Mg/m³
D(E_F) ... 0.59 states/eV/atom
SG ... Imma
Formation energy from raw total energies ... -0.377 eV per atom
E ... -5.1966 eV per atom
Magnetization ... 0.00 μB per atom

Cell lengths 6.929, 6.888, 6.888 Å; angles 59.97, 59.80, 59.80 degrees
Fractional coordinates of all 14 atoms:
Cu 0.625 0.625 0.125
Cu 0.375 0.375 0.875
Ni 0.000 0.000 0.000
Ni 0.000 0.500 0.500
Rh 0.500 0.000 0.500
Rh 0.000 0.000 0.500
S 0.764 0.753 0.718
S 0.236 0.782 0.747
S 0.764 0.218 0.253
S 0.236 0.247 0.282
S 0.216 0.757 0.257
S 0.771 0.757 0.257
S 0.229 0.243 0.743
S 0.784 0.243 0.743

---

6.
Below is a relaxed BaLa2Th crystal, with properties calculated at the PBE level.

## Properties
Mass density ... 6.8 Mg/m³
D(E_F) ... 1.02 states/eV/atom
Energy above the lowest structure with this stoichiometry ... 6.8 kJ per mole of atoms
SG ... R-3m
E ... -4.6545 eV per atom
Magnetization ... 0.00 μB per atom

Cell lengths 3.716, 3.716, 13.316 Å; angles 81.98, 81.98, 60.00 degrees
Fractional coordinates of all 4 atoms:
Ba 0.000 0.000 0.000
Th 0.500 0.500 0.500
La 0.095 0.095 0.716
La 0.905 0.905 0.284

---

7.
Below is a relaxed Er2Tm2Al crystal, with properties calculated at the PBE level.

## Properties
Mass density ... 8.3 Mg/m³
D(E_F) ... 1.46 states/eV/atom
Energy above the lowest structure with this stoichiometry ... 0.0 kJ per mole of atoms
SG ... C2/m
E ... -4.5004 eV per atom
Magnetization ... 0.00 μB per atom

Cell lengths 3.621, 6.433, 6.488 Å; angles 87.61, 73.80, 73.66 degrees
Fractional coordinates of all 5 atoms:
Er 0.779 0.803 0.639
Er 0.221 0.197 0.361
Tm 0.413 0.350 0.824
Tm 0.587 0.650 0.176
Al 0.000 0.000 0.000

---

8.
Below is a relaxed ScIrO5 crystal, with properties calculated at the PBE level.

## Properties
Mass density ... 5.7 Mg/m³
D(E_F) ... 0.63 states/eV/atom
SG ... Immm
Formation energy from raw total energies ... -1.412 eV per atom
E ... -7.1240 eV per atom
Magnetization ... 0.03 μB per atom

Cell lengths 3.685, 5.371, 5.371 Å; angles 73.13, 69.94, 69.94 degrees
Fractional coordinates of all 7 atoms:
Sc 0.000 0.000 0.000
Ir 0.500 0.500 0.500
O 0.500 0.195 0.805
O 0.500 0.805 0.195
O 0.738 0.262 0.262
O 0.262 0.738 0.738
O 0.000 0.500 0.500

---

9.
Below is a relaxed ThZrSc2As4 crystal, with properties calculated at the PBE level.

## Properties
Mass density ... 6.6 Mg/m³
D(E_F) ... 0.52 states/eV/atom
SG ... P2/m
E ... -7.1862 eV per atom
Magnetization ... 0.00 μB per atom

Cell lengths 3.990, 6.869, 6.916 Å; angles 70.43, 90.00, 90.00 degrees
Fractional coordinates of all 8 atoms:
Th 0.500 0.500 0.000
Zr 0.000 0.500 0.500
Sc 0.000 0.000 0.000
Sc 0.500 0.000 0.500
As 0.000 0.768 0.732
As 0.000 0.232 0.268
As 0.500 0.759 0.258
As 0.500 0.241 0.742

---

10.
Below is a relaxed MgAsPb2 crystal, with properties calculated at the PBE level.

## Properties
Mass density ... 8.2 Mg/m³
D(E_F) ... 0.55 states/eV/atom
Energy above the lowest structure with this stoichiometry ... 14.6 kJ per mole of atoms
SG ... P4/mmm
E ... -3.3730 eV per atom
Magnetization ... 0.00 μB per atom

Cell lengths 5.002, 5.001, 4.138 Å; angles 90.00, 90.00, 90.00 degrees
Fractional coordinates of all 4 atoms:
As 0.500 0.000 0.500
Mg 0.000 0.500 0.500
Pb 0.000 0.000 0.000
Pb 0.500 0.500 0.000

---

11.
Below is a relaxed MnI2N crystal, with properties calculated at the PBE level.

## Properties
Mass density ... 3.8 Mg/m³
Energy above the lowest structure with this stoichiometry ... 0.0 kJ per mole of atoms
SG ... P1
Formation energy from raw total energies ... 0.968 eV per atom
E ... -4.1806 eV per atom
Magnetization ... 2.00 μB per atom

Cell lengths 4.164, 7.215, 9.762 Å; angles 105.44, 89.97, 90.00 degrees
Fractional coordinates of all 8 atoms:
Mn 0.277 0.843 0.552
Mn 0.777 0.343 0.551
I 0.778 0.613 0.376
I 0.277 0.113 0.376
I 0.277 0.572 0.727
I 0.777 0.073 0.727
N 0.779 0.843 0.051
N 0.279 0.344 0.053

---

12.
Below is a relaxed NaSiAg6 crystal, with properties calculated at the PBE level.

## Properties
Mass density ... 6.2 Mg/m³
D(E_F) ... 0.40 states/eV/atom
SG ... R-3m
Formation energy from raw total energies ... 0.273 eV per atom
E ... -2.7081 eV per atom
Magnetization ... 0.00 μB per atom

Cell lengths 5.832, 5.832, 7.164 Å; angles 65.98, 65.98, 60.00 degrees
Fractional coordinates of all 8 atoms:
Na 0.500 0.500 0.500
Si 0.000 0.000 0.000
Ag 0.920 0.920 0.722
Ag 0.438 0.920 0.722
Ag 0.080 0.562 0.278
Ag 0.562 0.080 0.278
Ag 0.080 0.080 0.278
Ag 0.920 0.438 0.722

---

13.
Below is a relaxed Li2CrIn crystal, with properties calculated at the PBE level.

## Properties
Mass density ... 4.2 Mg/m³
D(E_F) ... 0.30 states/eV/atom
SG ... C2/m
E ... -3.9373 eV per atom
Magnetization ... 0.99 μB per atom

Cell lengths 5.283, 5.283, 4.418 Å; angles 65.04, 65.04, 40.08 degrees
Fractional coordinates of all 4 atoms:
Cr 0.750 0.750 0.750
In 0.250 0.250 0.250
Li 0.003 0.003 0.997
Li 0.497 0.497 0.503

---

14.
Below is a relaxed Ac16Co3Ru5 crystal, with properties calculated at the PBE level.

## Properties
Mass density ... 8.4 Mg/m³
D(E_F) ... 0.51 states/eV/atom
SG ... Cm
E ... -5.6950 eV per atom
Magnetization ... 0.00 μB per atom

Cell lengths 8.479, 8.479, 13.731 Å; angles 89.94, 89.94, 60.12 degrees
Fractional coordinates of all 24 atoms:
Ac 0.332 0.831 0.405
Ac 0.510 0.510 0.659
Ac 0.667 0.667 0.900
Ac 0.998 0.998 0.673
Ac 0.997 0.997 0.176
Ac 0.831 0.332 0.405
Ac 0.513 0.979 0.660
Ac 0.979 0.513 0.660
Ac 0.167 0.167 0.905
Ac 0.835 0.835 0.403
Ac 0.022 0.490 0.160
Ac 0.490 0.022 0.160
Ac 0.334 0.334 0.398
Ac 0.164 0.669 0.904
Ac 0.489 0.489 0.162
Ac 0.669 0.164 0.904
Co 0.833 0.833 0.786
Co 0.166 0.666 0.287
Co 0.666 0.166 0.287
Ru 0.332 0.834 0.787
Ru 0.669 0.669 0.512
Ru 0.834 0.332 0.787
Ru 0.164 0.164 0.288
Ru 0.336 0.336 0.016

---

15.
Below is a relaxed K5Tl12Sn2 crystal, with properties calculated at the PBE level.

## Properties
Mass density ... 7.1 Mg/m³
D(E_F) ... 0.56 states/eV/atom
SG ... C2/m
E ... -2.2708 eV per atom
Magnetization ... 0.00 μB per atom

Cell lengths 9.327, 9.303, 9.054 Å; angles 88.34, 121.00, 90.00 degrees
Fractional coordinates of all 19 atoms:
K 0.744 0.523 0.488
K 0.720 0.961 0.440
K 0.000 0.500 0.000
K 0.280 0.039 0.560
K 0.256 0.477 0.512
Tl 0.944 0.866 0.887
Tl 0.847 0.261 0.268
Tl 0.421 0.261 0.268
Tl 0.944 0.771 0.261
Tl 0.316 0.771 0.261
Tl 0.470 0.322 0.939
Tl 0.530 0.678 0.061
Tl 0.056 0.229 0.739
Tl 0.684 0.229 0.739
Tl 0.153 0.739 0.732
Tl 0.579 0.739 0.732
Tl 0.056 0.134 0.113
Sn 0.328 0.000 0.000
Sn 0.672 0.000 0.000

---

16.
Below is a relaxed Na3Tb3TeO8 crystal, with properties calculated at the PBE level.

## Properties
Mass density ... 5.8 Mg/m³
D(E_F) ... 0.00 states/eV/atom
SG ... R-3m
Formation energy from raw total energies ... -2.409 eV per atom
E ... -6.4528 eV per atom
Magnetization ... 0.00 μB per atom

Cell lengths 6.884, 6.884, 6.875 Å; angles 120.06, 90.01, 120.00 degrees
Fractional coordinates of all 15 atoms:
Na 0.000 0.000 0.000
Na 0.000 0.500 0.000
Na 0.500 0.500 0.000
Tb 0.500 0.000 0.500
Tb 0.500 0.500 0.500
Tb 0.000 0.500 0.500
Te 0.000 0.000 0.500
O 0.264 0.528 0.293
O 0.736 0.472 0.707
O 0.773 0.546 0.297
O 0.227 0.454 0.703
O 0.773 0.024 0.297
O 0.227 0.976 0.703
O 0.251 0.024 0.297
O 0.749 0.976 0.703

---

17.
Below is a relaxed PmTmBiO2 crystal, with properties calculated at the PBE level.

## Properties
Mass density ... 8.8 Mg/m³
D(E_F) ... 0.31 states/eV/atom
SG ... I4mm
Formation energy from raw total energies ... -2.650 eV per atom
E ... -7.2541 eV per atom
Magnetization ... 0.00 μB per atom

Cell lengths 3.912, 3.912, 7.383 Å; angles 105.36, 105.36, 90.00 degrees
Fractional coordinates of all 5 atoms:
Pm 0.835 0.835 0.670
Tm 0.171 0.171 0.341
Bi 0.504 0.504 0.009
O 0.745 0.245 0.490
O 0.245 0.745 0.490

---

18.
Below is a relaxed Pm3BiTe crystal, with properties calculated at the PBE level.

## Properties
Mass density ... 7.9 Mg/m³
D(E_F) ... 0.86 states/eV/atom
Energy above the lowest structure with this stoichiometry ... 0.0 kJ per mole of atoms
SG ... Pnma
Formation energy from raw total energies ... -0.944 eV per atom
E ... -5.1993 eV per atom
Magnetization ... 0.00 μB per atom

Cell lengths 4.498, 8.432, 17.008 Å; angles 90.00, 90.00, 90.00 degrees
Fractional coordinates of all 20 atoms:
Pm 0.250 0.363 0.560
Pm 0.750 0.832 0.225
Pm 0.750 0.513 0.893
Pm 0.750 0.013 0.607
Pm 0.750 0.637 0.440
Pm 0.250 0.987 0.393
Pm 0.250 0.863 0.940
Pm 0.750 0.332 0.275
Pm 0.250 0.668 0.725
Pm 0.250 0.168 0.775
Pm 0.750 0.137 0.060
Pm 0.250 0.487 0.107
Bi 0.750 0.889 0.801
Bi 0.250 0.111 0.199
Bi 0.750 0.389 0.699
Bi 0.250 0.611 0.301
Te 0.250 0.270 0.950
Te 0.250 0.770 0.550
Te 0.750 0.230 0.450
Te 0.750 0.730 0.050

---

19.
Below is a relaxed Ac2Tb6Pm crystal, with properties calculated at the PBE level.

## Properties
Mass density ... 8.1 Mg/m³
D(E_F) ... 1.82 states/eV/atom
SG ... C2/m
E ... -4.4205 eV per atom
Magnetization ... 0.00 μB per atom

Cell lengths 5.805, 6.730, 13.496 Å; angles 140.30, 102.42, 90.00 degrees
Fractional coordinates of all 9 atoms:
Ac 0.616 0.388 0.232
Ac 0.384 0.612 0.768
Tb 0.748 0.351 0.497
Tb 0.252 0.649 0.503
Tb 0.168 0.893 0.336
Tb 0.968 0.142 0.936
Tb 0.032 0.858 0.064
Tb 0.832 0.107 0.664
Pm 0.500 0.500 0.000